1.
# MnCuRh (GGA-PBE, relaxed)
data_MnCuRh
_chemical_formula_sum 'Mn4 Cu4 Rh4'
_symmetry_space_group_name_H-M 'F -4 3 m'
_symmetry_Int_Tables_number 216
_symmetry_space_group_name_Hall 'F -4 2 3'
_cell_length_a 5.748
_cell_length_b 5.748
_cell_length_c 5.748
_cell_angle_alpha 90.00
_cell_angle_beta 90.00
_cell_angle_gamma 90.00
loop_
_atom_site_label
_atom_site_type_symbol
_atom_site_fract_x
_atom_site_fract_y
_atom_site_fract_z
Mn1 Mn 0.000 0.000 0.000
Cu1 Cu 0.250 0.250 0.750
Rh1 Rh 0.000 0.000 0.500
# Energy of formation from the pure elements, eV per formula unit: 1.19
# Offset from the most stable computed form, meV/atom: 404



2.
# Cs12Ag (GGA-PBE, relaxed)
data_Cs12Ag
_chemical_formula_sum 'Cs24 Ag2'
_symmetry_space_group_name_H-M 'I m -3'
_symmetry_Int_Tables_number 204
_symmetry_space_group_name_Hall '-I 2 2 3'
_cell_length_a 13.796
_cell_length_b 13.796
_cell_length_c 13.796
_cell_angle_alpha 90.00
_cell_angle_beta 90.00
_cell_angle_gamma 90.00
loop_
_atom_site_label
_atom_site_type_symbol
_atom_site_fract_x
_atom_site_fract_y
_atom_site_fract_z
Cs1 Cs 0.000 0.303 0.173
Ag1 Ag 0.000 0.000 0.000
# Energy of formation from the pure elements, eV per formula unit: 0.81



3.
# Ac6TmTl5 (GGA-PBE, relaxed)
data_Ac6TmTl5
_chemical_formula_sum 'Ac12 Tm2 Tl10'
_symmetry_space_group_name_H-M 'I m m m'
_symmetry_Int_Tables_number 71
_symmetry_space_group_name_Hall '-I 2 2'
_cell_length_a 5.822
_cell_length_b 8.351
_cell_length_c 17.658
_cell_angle_alpha 90.00
_cell_angle_beta 90.00
_cell_angle_gamma 90.00
loop_
_atom_site_label
_atom_site_type_symbol
_atom_site_fract_x
_atom_site_fract_y
_atom_site_fract_z
Ac1 Ac 0.000 0.238 0.000
Ac2 Ac 0.000 0.256 0.329
Tm1 Tm 0.000 0.000 0.500
Tl1 Tl 0.000 0.000 0.168
Tl2 Tl 0.000 0.500 0.154
Tl3 Tl 0.000 0.500 0.500
# Energy of formation from the pure elements, eV per formula unit: -2.94



4.
# Pr4Y5Er (GGA-PBE, relaxed)
data_Pr4Y5Er
_chemical_formula_sum 'Pr8 Y10 Er2'
_symmetry_space_group_name_H-M 'C 1 2/m 1'
_symmetry_Int_Tables_number 12
_cell_length_a 17.392
_cell_length_b 3.564
_cell_length_c 11.298
_cell_angle_alpha 90.00
_cell_angle_beta 90.22
_cell_angle_gamma 90.00
loop_
_symmetry_equiv_pos_as_xyz
'x,y,z'
'-x,-y,-z'
'-x,y,-z'
'x,-y,z'
'x+1/2,y+1/2,z'
'-x+1/2,-y+1/2,-z'
'-x+1/2,y+1/2,-z'
'x+1/2,-y+1/2,z'
loop_
_atom_site_label
_atom_site_type_symbol
_atom_site_fract_x
_atom_site_fract_y
_atom_site_fract_z
Pr1 Pr 0.030 0.000 0.249
Pr2 Pr 0.156 0.500 0.750
Y1 Y 0.000 0.500 0.500
Y2 Y 0.173 0.000 0.053
Y3 Y 0.174 0.000 0.445
Er1 Er 0.000 0.500 0.000
# Energy of formation from the pure elements, eV per formula unit: 1.87
# Offset from the most stable computed form, meV/atom: 167



5.
# NaIn6Pd12 (GGA-PBE, relaxed)
data_NaIn6Pd12
_chemical_formula_sum 'Na3 In18 Pd36'
_symmetry_space_group_name_H-M 'R -3'
_symmetry_Int_Tables_number 148
_symmetry_space_group_name_Hall '-R 3'
_cell_length_a 12.0367
_cell_length_b 12.0367
_cell_length_c 8.2659
_cell_angle_alpha 90.00
_cell_angle_beta 90.00
_cell_angle_gamma 120.00
loop_
_atom_site_label
_atom_site_type_symbol
_atom_site_fract_x
_atom_site_fract_y
_atom_site_fract_z
Na1 Na 0.0000 0.0000 0.0000
In1 In 0.0475 0.2144 0.7459
Pd1 Pd 0.0484 0.2444 0.0773
Pd2 Pd 0.0622 0.2349 0.4187
# Energy of formation from the pure elements, eV per formula unit: -6.87



6.
# PuZrBr6 (GGA-PBE, relaxed)
data_PuZrBr6
_chemical_formula_sum 'Pu2 Zr2 Br12'
_symmetry_space_group_name_H-M 'C 1 2/m 1'
_symmetry_Int_Tables_number 12
_cell_length_a 6.930
_cell_length_b 13.074
_cell_length_c 6.900
_cell_angle_alpha 90.00
_cell_angle_beta 108.30
_cell_angle_gamma 90.00
loop_
_symmetry_equiv_pos_as_xyz
'x,y,z'
'-x,-y,-z'
'-x,y,-z'
'x,-y,z'
'x+1/2,y+1/2,z'
'-x+1/2,-y+1/2,-z'
'-x+1/2,y+1/2,-z'
'x+1/2,-y+1/2,z'
loop_
_atom_site_label
_atom_site_type_symbol
_atom_site_fract_x
_atom_site_fract_y
_atom_site_fract_z
Pu1 Pu 0.000 0.000 0.000
Zr1 Zr 0.000 0.500 0.500
Br1 Br 0.229 0.352 0.734
Br2 Br 0.241 0.500 0.265
# Formation energy without anion corrections, eV per atom: -1.409



7.
# SrZn3Rh (GGA-PBE, relaxed)
data_SrZn3Rh
_chemical_formula_sum 'Sr4 Zn12 Rh4'
_symmetry_space_group_name_H-M 'C 1 2/m 1'
_symmetry_Int_Tables_number 12
_cell_length_a 12.615
_cell_length_b 6.029
_cell_length_c 5.046
_cell_angle_alpha 90.00
_cell_angle_beta 95.71
_cell_angle_gamma 90.00
loop_
_symmetry_equiv_pos_as_xyz
'x,y,z'
'-x,-y,-z'
'-x,y,-z'
'x,-y,z'
'x+1/2,y+1/2,z'
'-x+1/2,-y+1/2,-z'
'-x+1/2,y+1/2,-z'
'x+1/2,-y+1/2,z'
loop_
_atom_site_label
_atom_site_type_symbol
_atom_site_fract_x
_atom_site_fract_y
_atom_site_fract_z
Sr1 Sr 0.105 0.000 0.278
Zn1 Zn 0.000 0.500 0.000
Zn2 Zn 0.000 0.500 0.500
Zn3 Zn 0.170 0.286 0.795
Rh1 Rh 0.185 0.500 0.297
# Energy of formation from the pure elements, eV per formula unit: -1.57
# Offset from the most stable computed form, meV/atom: 34



8.
# BaFeOs (GGA-PBE, relaxed)
data_BaFeOs
_chemical_formula_sum 'Ba4 Fe4 Os4'
_symmetry_space_group_name_H-M 'C m c m'
_symmetry_Int_Tables_number 63
_symmetry_space_group_name_Hall '-C 2c 2'
_cell_length_a 4.276
_cell_length_b 12.041
_cell_length_c 5.054
_cell_angle_alpha 90.00
_cell_angle_beta 90.00
_cell_angle_gamma 90.00
loop_
_atom_site_label
_atom_site_type_symbol
_atom_site_fract_x
_atom_site_fract_y
_atom_site_fract_z
Ba1 Ba 0.000 0.220 0.250
Fe1 Fe 0.000 0.500 0.000
Os1 Os 0.000 0.031 0.750
# Energy of formation from the pure elements, eV per formula unit: 1.60
# Offset from the most stable computed form, meV/atom: 187



9.
# Dy3Cd5 (GGA-PBE, relaxed)
data_Dy3Cd5
_chemical_formula_sum 'Dy6 Cd10'
_symmetry_space_group_name_H-M 'C m m m'
_symmetry_Int_Tables_number 65
_symmetry_space_group_name_Hall '-C 2 2'
_cell_length_a 7.599
_cell_length_b 10.391
_cell_length_c 5.081
_cell_angle_alpha 90.00
_cell_angle_beta 90.00
_cell_angle_gamma 90.00
loop_
_atom_site_label
_atom_site_type_symbol
_atom_site_fract_x
_atom_site_fract_y
_atom_site_fract_z
Dy1 Dy 0.000 0.000 0.000
Dy2 Dy 0.000 0.267 0.500
Cd1 Cd 0.000 0.500 0.000
Cd2 Cd 0.242 0.000 0.500
Cd3 Cd 0.250 0.250 0.000
# Energy of formation from the pure elements, eV per formula unit: -2.29
# Offset from the most stable computed form, meV/atom: 0



10.
# AsIrSe3 (GGA-PBE, relaxed)
data_AsIrSe3
_chemical_formula_sum 'As1 Ir1 Se3'
_symmetry_space_group_name_H-M 'P m -3 m'
_symmetry_Int_Tables_number 221
_symmetry_space_group_name_Hall '-P 4 2 3'
_cell_length_a 4.886
_cell_length_b 4.886
_cell_length_c 4.886
_cell_angle_alpha 90.00
_cell_angle_beta 90.00
_cell_angle_gamma 90.00
loop_
_atom_site_label
_atom_site_type_symbol
_atom_site_fract_x
_atom_site_fract_y
_atom_site_fract_z
As1 As 0.000 0.000 0.000
Ir1 Ir 0.500 0.500 0.500
Se1 Se 0.000 0.500 0.500
# Offset from the most stable computed form, meV/atom: 0
# Formation energy without anion corrections, eV per atom: 0.674



11.
# ZrHgS2 (GGA-PBE, relaxed)
data_ZrHgS2
_chemical_formula_sum 'Zr16 Hg16 S32'
_symmetry_space_group_name_H-M 'C 1 2/c 1'
_symmetry_Int_Tables_number 15
_cell_length_a 7.637
_cell_length_b 12.444
_cell_length_c 18.160
_cell_angle_alpha 90.00
_cell_angle_beta 91.82
_cell_angle_gamma 90.00
loop_
_symmetry_equiv_pos_as_xyz
'x,y,z'
'-x,-y,-z'
'-x,y,-z+1/2'
'x,-y,z+1/2'
'x+1/2,y+1/2,z'
'-x+1/2,-y+1/2,-z'
'-x+1/2,y+1/2,-z+1/2'
'x+1/2,-y+1/2,z+1/2'
loop_
_atom_site_label
_atom_site_type_symbol
_atom_site_fract_x
_atom_site_fract_y
_atom_site_fract_z
Zr1 Zr 0.031 0.177 0.341
Zr2 Zr 0.212 0.426 0.176
Hg1 Hg 0.008 0.194 0.589
Hg2 Hg 0.249 0.055 0.076
S1 S 0.000 0.000 0.250
S2 S 0.000 0.482 0.750
S3 S 0.021 0.333 0.081
S4 S 0.231 0.068 0.417
S5 S 0.234 0.242 0.244
# Formation energy without anion corrections, eV per atom: -0.966



12.
# CaTeAuSeS (GGA-PBE, relaxed)
data_CaTeAuSeS
_chemical_formula_sum 'Ca1 Te1 Au1 Se1 S1'
_symmetry_space_group_name_H-M 'P 1'
_symmetry_Int_Tables_number 1
_cell_length_a 4.206
_cell_length_b 4.454
_cell_length_c 8.614
_cell_angle_alpha 79.84
_cell_angle_beta 76.07
_cell_angle_gamma 61.87
loop_
_symmetry_equiv_pos_as_xyz
'x,y,z'
loop_
_atom_site_label
_atom_site_type_symbol
_atom_site_fract_x
_atom_site_fract_y
_atom_site_fract_z
Ca1 Ca 0.000 0.000 0.000
Te1 Te 0.085 0.378 0.448
Au1 Au 0.361 0.668 0.606
Se1 Se 0.769 0.661 0.799
S1 S 0.262 0.330 0.150
# Offset from the most stable computed form, meV/atom: 13
# Formation energy without anion corrections, eV per atom: -0.744